The following is a DFT calculation (PBE) of a relaxed structure of Ho2TmGa2.

Lattice parameters (Å, degrees): 4.2679 7.6095 7.6095 90.00 90.00 90.00
Last column: nearest neighbours and their distance in Å.
Positions (direct):
Ga 0.0000 0.8794 0.6206  1 Ga 2.60
Ga 0.0000 0.6206 0.1206  1 Ga 2.60
Ga 0.0000 0.3794 0.8794  1 Ga 2.60
Ga 0.0000 0.1206 0.3794  1 Ga 2.60
Tm 0.0000 0.0000 0.0000  4 Ga 3.03
Tm 0.0000 0.5000 0.5000  4 Ga 3.03
Ho 0.5000 0.8254 0.3253  6 Ga 3.07-3.13
Ho 0.5000 0.1746 0.6746  6 Ga 3.07-3.13
Ho 0.5000 0.6746 0.8254  6 Ga 3.07-3.13
Ho 0.5000 0.3253 0.1746  6 Ga 3.07-3.13

## Properties
- theoretical density (g cm⁻³) = 8.6
- V (Å³ per cell) = 247.13
- energy above the most stable polymorph in this dataset (meV per atom) = 0.0
- raw total energy (eV/atom) = -4.4672
- SG = No. 127
- density of states at the Fermi level (states/eV per atom) = 1.085
- energy relative to the elements (eV per atom) = -0.5310